1.
VASP calculation (PBE) on an optimized crystal structure of Ti4BiSe.

The density of states at the Fermi level is 0.967 states/eV per atom.

The space group is P-1 (No. 2) and the conventional cell measures 5.2479, 6.6918 and 7.2369 Å, with angles of 76.89, 69.99 and 89.01 degrees. The distinct sites, in fractional coordinates, are Ti at (0.0272, 0.1215, 0.1336), Ti at (0.3073, 0.6410, 0.1436), Ti at (0.3294, 0.5553, 0.6591), Ti at (0.4586, 0.9176, 0.3585), Bi at (0.1185, 0.2521, 0.4917), Se at (0.0000, 0.5000, 0.0000) and Se at (0.5000, 0.0000, 0.0000).

2.
VASP calculation (PBE) on an optimized crystal structure of Na2In8Hg.

The calculation puts the formation energy at -0.05 eV per atom. The density of states at the Fermi level is 0.440 states/eV per atom.

The space group is C2/m (No. 12) and the conventional cell measures 16.9159, 4.6650 and 7.7156 Å, with angles of 90.00, 106.49 and 90.00 degrees. The distinct sites, in fractional coordinates, are Na at (0.2284, 0.0000, 0.1411), In at (0.0478, 0.0000, 0.2273), In at (0.0883, 0.5000, 0.9550), In at (0.1286, 0.0000, 0.6813), In at (0.1810, 0.5000, 0.4120) and Hg at (0.0000, 0.5000, 0.5000).

3.
VASP calculation (PBE) on an optimized crystal structure of TlInGeBr4.

The density of states at the Fermi level is 0.000 states/eV per atom.

The space group is P2_1/m (No. 11) and the conventional cell measures 7.5014, 7.1927 and 9.6746 Å, with angles of 90.00, 107.60 and 90.00 degrees. The distinct sites, in fractional coordinates, are Tl at (0.0906, 0.2500, 0.4073), In at (0.2484, 0.7500, 0.0603), Ge at (0.4712, 0.7500, 0.6477), Br at (0.1782, 0.2500, 0.0929), Br at (0.2043, 0.7500, 0.3850) and Br at (0.3153, 0.0015, 0.7457).

4.
VASP calculation (PBE) on an optimized crystal structure of NiSb2SI.

The density of states at the Fermi level is 0.820 states/eV per atom.

The space group is P4/mmm (No. 123) and the conventional cell measures 5.0519, 5.0519 and 4.9977 Å, with angles of 90.00, 90.00 and 90.00 degrees. The distinct sites, in fractional coordinates, are Ni at (0.0000, 0.0000, 0.0000), Sb at (0.0000, 0.5000, 0.0000), S at (0.5000, 0.5000, 0.5000) and I at (0.0000, 0.0000, 0.5000).

5.
VASP calculation (PBE) on an optimized crystal structure of Cu2PSe.

The density of states at the Fermi level is 0.585 states/eV per atom.

The space group is P4/mmm (No. 123) and the conventional cell measures 4.1220, 4.1220 and 3.5479 Å, with angles of 90.00, 90.00 and 90.00 degrees. The distinct sites, in fractional coordinates, are Cu at (0.0000, 0.5000, 0.0000), P at (0.0000, 0.0000, 0.5000) and Se at (0.5000, 0.5000, 0.5000).

6.
VASP calculation (PBE) on an optimized crystal structure of Dy2TlGa.

The calculation puts the formation energy at -0.46 eV per atom. The density of states at the Fermi level is 0.392 states/eV per atom.

The space group is P4/mmm (No. 123) and the conventional cell measures 3.5835, 3.5835 and 7.8072 Å, with angles of 90.00, 90.00 and 90.00 degrees. The distinct sites, in fractional coordinates, are Dy at (0.0000, 0.0000, 0.2318), Tl at (0.5000, 0.5000, 0.5000) and Ga at (0.5000, 0.5000, 0.0000).

7.
VASP calculation (PBE) on an optimized crystal structure of ThZn2.

The calculation puts the formation energy at -0.27 eV per atom. The density of states at the Fermi level is 1.068 states/eV per atom.

The space group is P6/mmm (No. 191) and the conventional cell measures 4.5966, 4.5966 and 3.5401 Å, with angles of 90.00, 90.00 and 120.00 degrees. The distinct sites, in fractional coordinates, are Th at (0.0000, 0.0000, 0.0000) and Zn at (0.3333, 0.6667, 0.5000).

8.
VASP calculation (PBE) on an optimized crystal structure of NaPmAs2Pd4.

The calculation puts the formation energy at -0.49 eV per atom. The density of states at the Fermi level is 0.507 states/eV per atom.

The space group is P4/mmm (No. 123) and the conventional cell measures 4.0709, 4.0709 and 10.3666 Å, with angles of 90.00, 90.00 and 90.00 degrees. The distinct sites, in fractional coordinates, are Na at (0.0000, 0.0000, 0.0000), Pm at (0.0000, 0.0000, 0.5000), As at (0.5000, 0.5000, 0.1537) and Pd at (0.0000, 0.5000, 0.2895).

9.
VASP calculation (PBE) on an optimized crystal structure of Pr3SmSn4.

The calculation puts the formation energy at -0.57 eV per atom. The density of states at the Fermi level is 0.604 states/eV per atom.

The space group is Immm (No. 71) and the conventional cell measures 3.8456, 7.2687 and 18.2254 Å, with angles of 90.00, 90.00 and 90.00 degrees. The distinct sites, in fractional coordinates, are Pr at (0.0000, 0.0000, 0.0000), Pr at (0.0000, 0.5000, 0.2106), Sm at (0.0000, 0.0000, 0.5000) and Sn at (0.0000, 0.2940, 0.3718).

10.
VASP calculation (PBE) on an optimized crystal structure of LiErZrOs.

The calculation puts the formation energy at -0.27 eV per atom. The density of states at the Fermi level is 0.894 states/eV per atom.

The space group is F-43m (No. 216) and the conventional cell measures 6.7258, 6.7258 and 6.7258 Å, with angles of 90.00, 90.00 and 90.00 degrees. The distinct sites, in fractional coordinates, are Li at (0.0000, 0.0000, 0.0000), Er at (0.2500, 0.2500, 0.2500), Zr at (0.2500, 0.2500, 0.7500) and Os at (0.0000, 0.0000, 0.5000).

11.
VASP calculation (PBE) on an optimized crystal structure of Se3IO.

The density of states at the Fermi level is 0.847 states/eV per atom.

The space group is Pm-3m (No. 221) and the conventional cell measures 4.6745, 4.6745 and 4.6745 Å, with angles of 90.00, 90.00 and 90.00 degrees. The distinct sites, in fractional coordinates, are Se at (0.0000, 0.0000, 0.5000), I at (0.5000, 0.5000, 0.5000) and O at (0.0000, 0.0000, 0.0000).

12.
VASP calculation (PBE) on an optimized crystal structure of KVCd.

The calculation puts the formation energy at 0.39 eV per atom. The density of states at the Fermi level is 0.721 states/eV per atom.

The space group is C2/m (No. 12) and the conventional cell measures 24.2330, 4.7205 and 3.1626 Å, with angles of 90.00, 93.73 and 90.00 degrees. The distinct sites, in fractional coordinates, are K at (0.1691, 0.0000, 0.2137), V at (0.0340, 0.0000, 0.3563) and Cd at (0.0592, 0.5000, 0.8400).

Per-record electronic total energy, eV/atom: -6.72, -2.31, -3.00, -3.46, -3.88, -4.11, -3.60, -5.01, -4.96, -6.84, -2.71, -3.32